Density functional theory data (PBE) for an optimized crystal structure of La6TbCd2.

Summary:
V (Å³ per cell): 301.9
Spin magnetization (μB per cell): 0.0
Total energy (eV/cell): -37.27

Unit cell a=3.899 b=6.887 c=12.185 alpha=75.08 beta=80.79 gamma=73.56
Sites, in units of the cell vectors:
La 0.681 0.514 0.123
La 0.319 0.486 0.877
La 0.309 0.790 0.592
La 0.978 0.708 0.337
La 0.022 0.292 0.663
La 0.691 0.210 0.408
Tb 0.000 0.000 0.000
Cd 0.359 0.090 0.193
Cd 0.641 0.910 0.807

Density functional theory data (PBE) for an optimized crystal structure of La6TbCd.

Summary:
V (Å³ per cell): 272.6
Spin magnetization (μB per cell): 0.0
Total energy (eV/cell): -35.58
Excess energy over the best structure of this formula in the dataset (meV per atom): 0.0

Unit cell a=5.130 b=5.130 c=10.358 alpha=90.00 beta=90.00 gamma=90.00
Sites, in units of the cell vectors:
La 0.500 0.500 0.000
La 0.500 0.500 0.500
La 0.500 0.000 0.253
La 0.500 0.000 0.747
La 0.000 0.500 0.253
La 0.000 0.500 0.747
Tb 0.000 0.000 0.000
Cd 0.000 0.000 0.500

Density functional theory data (PBE) for an optimized crystal structure of LaTbCd.

Summary:
V (Å³ per cell): 92.1
Spin magnetization (μB per cell): 0.5
Total energy (eV/cell): -11.06
Excess energy over the best structure of this formula in the dataset (meV per atom): 0.0

Unit cell a=3.760 b=3.760 c=7.038 alpha=105.49 beta=105.49 gamma=90.00
Sites, in units of the cell vectors:
Cd 0.676 0.676 0.352
Tb 0.316 0.316 0.633
La 0.008 0.008 0.015